First-principles (PBE) data for a relaxed Ca2TeOsSe crystal, as listed in Alexandria via LeMat-Bulk.

Cell and atoms, written as CIF:
```
data_Ca2TeOsSe
_chemical_formula_sum 'Ca2 Te1 Os1 Se1'
_symmetry_space_group_name_H-M 'P 4/m m m'
_symmetry_Int_Tables_number 123
_symmetry_space_group_name_Hall '-P 4 2'
_cell_length_a 5.6439
_cell_length_b 5.6439
_cell_length_c 4.5114
_cell_angle_alpha 90.00
_cell_angle_beta 90.00
_cell_angle_gamma 90.00
loop_
_atom_site_label
_atom_site_fract_x
_atom_site_fract_y
_atom_site_fract_z
Ca1 0.0000 0.5000 0.0000
Te1 0.0000 0.0000 0.5000
Os1 0.5000 0.5000 0.5000
Se1 0.5000 0.5000 0.0000
```


First-principles (PBE) data for a relaxed Ca2Se crystal, as listed in Alexandria via LeMat-Bulk.

Cell and atoms, written as CIF:
```
data_Ca2Se
_chemical_formula_sum 'Ca8 Se4'
_symmetry_space_group_name_H-M 'C 1 2/m 1'
_symmetry_Int_Tables_number 12
_cell_length_a 13.6213
_cell_length_b 3.9383
_cell_length_c 7.0320
_cell_angle_alpha 90.00
_cell_angle_beta 102.90
_cell_angle_gamma 90.00
loop_
_symmetry_equiv_pos_as_xyz
'x,y,z'
'-x,-y,-z'
'-x,y,-z'
'x,-y,z'
'x+1/2,y+1/2,z'
'-x+1/2,-y+1/2,-z'
'-x+1/2,y+1/2,-z'
'x+1/2,-y+1/2,z'
loop_
_atom_site_label
_atom_site_fract_x
_atom_site_fract_y
_atom_site_fract_z
Ca1 0.0000 0.0000 0.0000
Ca2 0.0000 0.0000 0.5000
Ca3 0.2298 0.5000 0.2575
Se1 0.1161 0.5000 0.8203
```


First-principles (PBE) data for a relaxed Na7Cu2O6 crystal, as listed in Alexandria via LeMat-Bulk.

Cell and atoms, written as CIF:
```
data_Na7Cu2O6
_chemical_formula_sum 'Na28 Cu8 O24'
_symmetry_space_group_name_H-M 'C 1 2/c 1'
_symmetry_Int_Tables_number 15
_cell_length_a 14.6269
_cell_length_b 5.7814
_cell_length_c 10.7190
_cell_angle_alpha 90.00
_cell_angle_beta 104.39
_cell_angle_gamma 90.00
loop_
_symmetry_equiv_pos_as_xyz
'x,y,z'
'-x,-y,-z'
'-x,y,-z+1/2'
'x,-y,z+1/2'
'x+1/2,y+1/2,z'
'-x+1/2,-y+1/2,-z'
'-x+1/2,y+1/2,-z+1/2'
'x+1/2,-y+1/2,z+1/2'
loop_
_atom_site_label
_atom_site_fract_x
_atom_site_fract_y
_atom_site_fract_z
Na1 0.0000 0.0707 0.2500
Na2 0.0595 0.3636 0.6505
Na3 0.1685 0.4058 0.4066
Na4 0.2221 0.0410 0.8012
Cu1 0.1238 0.1238 0.0382
O1 0.0960 0.2322 0.8720
O2 0.1234 0.2718 0.1916
O3 0.1730 0.1697 0.5808
```


First-principles (PBE) data for a relaxed Sr5Sb3 crystal, as listed in Alexandria via LeMat-Bulk.

Cell and atoms, written as CIF:
```
data_Sr5Sb3
_chemical_formula_sum 'Sr20 Sb12'
_symmetry_space_group_name_H-M 'P n m a'
_symmetry_Int_Tables_number 62
_cell_length_a 13.4850
_cell_length_b 10.1056
_cell_length_c 8.8070
_cell_angle_alpha 90.00
_cell_angle_beta 90.00
_cell_angle_gamma 90.00
loop_
_symmetry_equiv_pos_as_xyz
'x,y,z'
'-x,-y,-z'
'-x+1/2,-y,z+1/2'
'x+1/2,y,-z+1/2'
'x+1/2,-y+1/2,-z+1/2'
'-x+1/2,y+1/2,z+1/2'
'-x,y+1/2,-z'
'x,-y+1/2,z'
loop_
_atom_site_label
_atom_site_fract_x
_atom_site_fract_y
_atom_site_fract_z
Sr1 0.0038 0.2500 0.0356
Sr2 0.0830 0.0392 0.6875
Sr3 0.2027 0.7500 0.3444
Sr4 0.2245 0.2500 0.3196
Sb1 0.0139 0.7500 0.5759
Sb2 0.1716 0.5101 0.0580
```

## Properties
The value obtained for the energy above the lowest structure with this stoichiometry is 8.6 meV per atom.


Raw formation energy values, unit kcal/mol of atoms, following the record order: -6.984, -27.388, -25.579, -22.958.
Density of states at the Fermi level values, unit states/eV per cell, following the record order: 2.18, 3.92, 20.20, 4.37.
E_tot values, unit Ry per atom, following the record order: -0.344, -0.271, -0.313, -0.264.